VASP calculation (GGA-PBE) on CrRhN2 after structural relaxation.

Computed properties:
**Relative energy among the computed polymorphs**: 0.897 eV per atom
**Calculated total energy**: -7.579 eV per atom
**ΔE_f (raw)**: 0.827 eV/atom
**Total magnetic moment**: 0.0 μB/cell
**V**: 36.04 Å³/cell

a b c (Å): 3.7077 3.7077 3.7077
angles (deg): 60.00 60.00 60.00
Element x y z (fractional)
Cr1 0.0000 0.0000 0.0000
Rh1 0.5000 0.5000 0.5000
N1 0.7500 0.7500 0.7500
N2 0.2500 0.2500 0.2500

VASP calculation (GGA-PBE) on SnPd6Pb2 after structural relaxation.

Computed properties:
**Relative energy among the computed polymorphs**: 0.090 eV per atom
**Calculated total energy**: -4.976 eV per atom
**Total magnetic moment**: 0.0 μB/cell
**E_form**: -0.245 eV per atom
**V**: 174.90 Å³/cell

a b c (Å): 4.6320 7.5811 6.6727
angles (deg): 124.62 110.28 90.00
Element x y z (fractional)
Pb1 0.6666 0.6664 0.3329
Pb2 0.3334 0.3336 0.6671
Pd1 0.1606 0.4524 0.3211
Pd2 0.8394 0.1313 0.6789
Pd3 0.5000 0.8070 0.0000
Pd4 0.1606 0.8687 0.3211
Pd5 0.5000 0.1930 0.0000
Sn1 0.0000 0.0000 0.0000
Pd6 0.8394 0.5476 0.6789

VASP calculation (GGA-PBE) on Sc4Cu5 after structural relaxation.

Computed properties:
**Relative energy among the computed polymorphs**: 0.021 eV per atom
**Calculated total energy**: -5.190 eV per atom
**Total magnetic moment**: 0.0 μB/cell
**E_form**: -0.100 eV per atom
**V**: 153.70 Å³/cell

a b c (Å): 6.3504 6.3504 6.3504
angles (deg): 96.60 96.60 140.36
Element x y z (fractional)
Cu1 0.3479 0.6521 0.0000
Cu2 0.6521 0.6521 0.3042
Cu3 0.3479 0.3479 0.6958
Sc1 0.3094 0.0000 0.3094
Cu4 0.0000 0.0000 0.0000
Cu5 0.6521 0.3479 0.0000
Sc2 0.0000 0.3094 0.3094
Sc3 0.0000 0.6906 0.6906
Sc4 0.6906 0.0000 0.6906